(1)
# GGA-PBE CeErAg4, optimized geometry
# Total magnetization = 0.17 μB per atom
# Polymorph energy (0 for the lowest one) = 0 meV per atom
# Symmetry = C2/m, No. 12
# Formation energy from the elements = -192 meV/atom
data_CeErAg4
_chemical_formula_sum 'Ce1 Er1 Ag4'
_space_group_name_H-M_alt 'P 1'
_space_group_IT_number 1
_space_group_name_Hall 'P 1'
_cell_length_a 3.653
_cell_length_b 5.400
_cell_length_c 7.751
_cell_angle_alpha 100.63
_cell_angle_beta 76.37
_cell_angle_gamma 70.23
loop_
_atom_site_label
_atom_site_type_symbol
_atom_site_fract_x
_atom_site_fract_y
_atom_site_fract_z
_atom_site_occupancy
Ag1 Ag 0.849 0.481 0.822 1
Ag2 Ag 0.326 0.002 0.346 1
Ag3 Ag 0.674 0.998 0.654 1
Ag4 Ag 0.151 0.519 0.178 1
Ce1 Ce 0.000 0.000 0.000 1
Er1 Er 0.500 0.500 0.500 1

(2)
# GGA-PBE CeErAg3, optimized geometry
# Total magnetization = 0.26 μB per atom
# Symmetry = Cmcm, No. 63
# Formation energy from the elements = -195 meV/atom
data_CeErAg3
_chemical_formula_sum 'Ce2 Er2 Ag6'
_space_group_name_H-M_alt 'P 1'
_space_group_IT_number 1
_space_group_name_Hall 'P 1'
_cell_length_a 3.404
_cell_length_b 4.866
_cell_length_c 14.257
_cell_angle_alpha 90.00
_cell_angle_beta 96.86
_cell_angle_gamma 90.00
loop_
_atom_site_label
_atom_site_type_symbol
_atom_site_fract_x
_atom_site_fract_y
_atom_site_fract_z
_atom_site_occupancy
Ag1 Ag 0.377 0.250 0.754 1
Ag2 Ag 0.623 0.750 0.246 1
Ag3 Ag 0.476 0.250 0.951 1
Ag4 Ag 0.524 0.750 0.049 1
Ag5 Ag 0.320 0.750 0.641 1
Ag6 Ag 0.680 0.250 0.359 1
Ce1 Ce 0.076 0.250 0.152 1
Ce2 Ce 0.924 0.750 0.848 1
Er1 Er 0.211 0.750 0.422 1
Er2 Er 0.789 0.250 0.578 1

(3)
# GGA-PBE CeErAg, optimized geometry
# Total magnetization = 0.37 μB per atom
# Polymorph energy (0 for the lowest one) = 185 meV per atom
# Symmetry = P3m1, No. 156
# Formation energy from the elements = 67 meV/atom
data_CeErAg
_chemical_formula_sum 'Ce1 Er1 Ag1'
_space_group_name_H-M_alt 'P 1'
_space_group_IT_number 1
_space_group_name_Hall 'P 1'
_cell_length_a 3.471
_cell_length_b 5.106
_cell_length_c 5.106
_cell_angle_alpha 120.00
_cell_angle_beta 90.00
_cell_angle_gamma 90.00
loop_
_atom_site_label
_atom_site_type_symbol
_atom_site_fract_x
_atom_site_fract_y
_atom_site_fract_z
_atom_site_occupancy
Er1 Er 0.597 0.667 0.333 1
Ag1 Ag 0.379 0.333 0.667 1
Ce1 Ce 0.023 0.000 0.000 1

(4)
# GGA-PBE CeErAg, optimized geometry
# Total magnetization = 0.44 μB per atom
# Polymorph energy (0 for the lowest one) = 42 meV per atom
# Symmetry = I4mm, No. 107
# Formation energy from the elements = -75 meV/atom
data_CeErAg
_chemical_formula_sum 'Ce1 Er1 Ag1'
_space_group_name_H-M_alt 'P 1'
_space_group_IT_number 1
_space_group_name_Hall 'P 1'
_cell_length_a 3.492
_cell_length_b 3.492
_cell_length_c 7.034
_cell_angle_alpha 104.37
_cell_angle_beta 104.37
_cell_angle_gamma 90.00
loop_
_atom_site_label
_atom_site_type_symbol
_atom_site_fract_x
_atom_site_fract_y
_atom_site_fract_z
_atom_site_occupancy
Er1 Er 0.314 0.314 0.628 1
Ag1 Ag 0.676 0.676 0.351 1
Ce1 Ce 0.010 0.010 0.021 1

(5)
# GGA-PBE CeErAg4, optimized geometry
# Total magnetization = 0.18 μB per atom
# Polymorph energy (0 for the lowest one) = 89 meV per atom
# Symmetry = F-43m, No. 216
# Formation energy from the elements = -103 meV/atom
data_CeErAg4
_chemical_formula_sum 'Ce1 Er1 Ag4'
_space_group_name_H-M_alt 'P 1'
_space_group_IT_number 1
_space_group_name_Hall 'P 1'
_cell_length_a 5.719
_cell_length_b 5.719
_cell_length_c 5.719
_cell_angle_alpha 60.00
_cell_angle_beta 60.00
_cell_angle_gamma 60.00
loop_
_atom_site_label
_atom_site_type_symbol
_atom_site_fract_x
_atom_site_fract_y
_atom_site_fract_z
_atom_site_occupancy
Ag1 Ag 0.625 0.126 0.625 1
Ag2 Ag 0.625 0.625 0.625 1
Ag3 Ag 0.625 0.625 0.126 1
Ag4 Ag 0.126 0.625 0.625 1
Er1 Er 0.250 0.250 0.250 1
Ce1 Ce 0.000 0.000 0.000 1

(6)
# GGA-PBE Ce2ErAg, optimized geometry
# Total magnetization = 0.51 μB per atom
# Polymorph energy (0 for the lowest one) = 122 meV per atom
# Symmetry = Fm-3m, No. 225
# Formation energy from the elements = 180 meV/atom
data_Ce2ErAg
_chemical_formula_sum 'Ce2 Er1 Ag1'
_space_group_name_H-M_alt 'P 1'
_space_group_IT_number 1
_space_group_name_Hall 'P 1'
_cell_length_a 5.368
_cell_length_b 5.368
_cell_length_c 5.368
_cell_angle_alpha 60.00
_cell_angle_beta 60.00
_cell_angle_gamma 60.00
loop_
_atom_site_label
_atom_site_type_symbol
_atom_site_fract_x
_atom_site_fract_y
_atom_site_fract_z
_atom_site_occupancy
Er1 Er 0.000 0.000 0.000 1
Ag1 Ag 0.500 0.500 0.500 1
Ce1 Ce 0.750 0.750 0.750 1
Ce2 Ce 0.250 0.250 0.250 1